1.
# PBE Dy12ErTm7, optimized geometry
data_Dy12ErTm7
_chemical_formula_sum 'Dy36 Er3 Tm21'
_symmetry_space_group_name_H-M 'R -3'
_symmetry_Int_Tables_number 148
_symmetry_space_group_name_Hall '-R 3'
_cell_length_a 12.6837
_cell_length_b 12.6837
_cell_length_c 13.5567
_cell_angle_alpha 90.00
_cell_angle_beta 90.00
_cell_angle_gamma 120.00
loop_
_atom_site_label
_atom_site_fract_x
_atom_site_fract_y
_atom_site_fract_z
Dy1 0.0007 0.4367 0.2497
Dy2 0.0687 0.8693 0.8468
Er1 0.0000 0.0000 0.5000
Tm1 0.0000 0.0000 0.0000
Tm2 0.0687 0.1995 0.3484
# Offset from the most stable computed form, meV/atom: 0
# Crystal system: trigonal

2.
# PBE DyEr4Tm, optimized geometry
data_DyEr4Tm
_chemical_formula_sum 'Dy4 Er16 Tm4'
_symmetry_space_group_name_H-M 'F -4 3 m'
_symmetry_Int_Tables_number 216
_symmetry_space_group_name_Hall 'F -4 2 3'
_cell_length_a 9.162
_cell_length_b 9.162
_cell_length_c 9.162
_cell_angle_alpha 90.00
_cell_angle_beta 90.00
_cell_angle_gamma 90.00
loop_
_atom_site_label
_atom_site_fract_x
_atom_site_fract_y
_atom_site_fract_z
Dy1 0.000 0.000 0.000
Er1 0.125 0.125 0.375
Tm1 0.250 0.250 0.750
# Offset from the most stable computed form, meV/atom: 201
# Crystal system: cubic

3.
# PBE DyEr6Tm4, optimized geometry
data_DyEr6Tm4
_chemical_formula_sum 'Dy2 Er12 Tm8'
_symmetry_space_group_name_H-M 'I -4 2 m'
_symmetry_Int_Tables_number 121
_symmetry_space_group_name_Hall 'I -4 2'
_cell_length_a 6.455
_cell_length_b 6.455
_cell_length_c 16.857
_cell_angle_alpha 90.00
_cell_angle_beta 90.00
_cell_angle_gamma 90.00
loop_
_atom_site_label
_atom_site_fract_x
_atom_site_fract_y
_atom_site_fract_z
Dy1 0.000 0.000 0.000
Er1 0.000 0.500 0.000
Er2 0.186 0.186 0.172
Tm1 0.180 0.180 0.368
# Crystal system: tetragonal

| no. | formation enthalpy at 0 K (eV per atom) |
| --- | --- |
| 1 | 0.3051 |
| 2 | 0.2677 |
| 3 | 0.3146 |